(1)
{
  "formula": "HfTc3Au",
  "functional": "GGA-PBE",
  "state": "relaxed",
  "lattice": [[4.722, 0.000, 0.000], [0.000, 4.722, 0.000], [0.000, 0.000, 4.722]],
  "species": ["Tc", "Tc", "Tc", "Au", "Hf"],
  "fractional_positions": [[0.000, 0.000, 0.500], [0.000, 0.500, 0.000], [0.500, 0.000, 0.000], [0.500, 0.500, 0.500], [0.000, 0.000, 0.000]],
  "polymorph_energy_ev_per_fu": 0.00
}


(2)
{
  "formula": "HfTc3Au",
  "functional": "GGA-PBE",
  "state": "relaxed",
  "lattice": [[4.801, 0.000, 0.000], [0.000, 4.801, 0.000], [0.000, 0.000, 4.801]],
  "species": ["Tc", "Tc", "Au", "Tc", "Hf"],
  "fractional_positions": [[0.000, 0.000, 0.500], [0.500, 0.000, 0.000], [0.000, 0.000, 0.000], [0.000, 0.500, 0.000], [0.500, 0.500, 0.500]],
  "polymorph_energy_ev_per_fu": 0.63
}


(3)
{
  "formula": "Hf2Tc2Au",
  "functional": "GGA-PBE",
  "state": "relaxed",
  "lattice": [[6.898, 0.000, 0.000], [0.000, 6.898, 0.000], [0.000, 0.000, 3.913]],
  "species": ["Tc", "Hf", "Hf", "Hf", "Tc", "Au", "Tc", "Au", "Tc", "Hf"],
  "fractional_positions": [[0.621, 0.121, 0.000], [0.320, 0.180, 0.500], [0.820, 0.320, 0.500], [0.680, 0.820, 0.500], [0.379, 0.879, 0.000], [0.000, 0.000, 0.000], [0.879, 0.621, 0.000], [0.500, 0.500, 0.000], [0.121, 0.379, 0.000], [0.180, 0.680, 0.500]]
}


no.,formation energy from the elements (eV per formula unit)
1,9.4
2,10.0
3,-0.8